Entry 1:
# Mn2ZnPd2 (PBE, relaxed)
data_Mn2ZnPd2
_chemical_formula_sum 'Mn4 Zn2 Pd4'
_cell_length_a 7.266
_cell_length_b 7.266
_cell_length_c 2.720
_cell_angle_alpha 90.00
_cell_angle_beta 90.00
_cell_angle_gamma 90.00
_space_group_name_H-M_alt 'P 4/m b m'
_space_group_IT_number 127
_space_group_name_Hall '-P 4 2ab'
loop_
_atom_site_label
_atom_site_type_symbol
_atom_site_fract_x
_atom_site_fract_y
_atom_site_fract_z
Mn1 Mn 0.093 0.407 0.000
Zn1 Zn 0.000 0.000 0.000
Pd1 Pd 0.198 0.698 0.500
# Magnetic moment (μB/atom): 0.000
# Crystal system: tetragonal
# Excess energy over the best structure of this formula in the dataset (meV per atom): 306
# ρ (g cm⁻³): 8.98
# DFT total energy (eV/f.u.): -28.74

---

Entry 2:
# ReAs2Br (PBE, relaxed)
data_ReAs2Br
_chemical_formula_sum 'Re1 As2 Br1'
_cell_length_a 3.097
_cell_length_b 3.097
_cell_length_c 8.709
_cell_angle_alpha 90.00
_cell_angle_beta 90.17
_cell_angle_gamma 90.00
_space_group_name_H-M_alt 'P 1 2/m 1'
_space_group_IT_number 10
_space_group_name_Hall '-P 2y'
loop_
_atom_site_label
_atom_site_type_symbol
_atom_site_fract_x
_atom_site_fract_y
_atom_site_fract_z
Re1 Re 0.000 0.000 0.000
As1 As 0.499 0.500 0.829
Br1 Br 0.000 0.000 0.500
# Magnetic moment (μB/atom): 0.000
# Formation energy without anion corrections (meV per atom): 150
# Crystal system: monoclinic
# Excess energy over the best structure of this formula in the dataset (meV per atom): 4
# ρ (g cm⁻³): 8.27
# DFT total energy (eV/f.u.): -22.82

---

Entry 3:
# Cs2NpCuTe4 (PBE, relaxed)
data_Cs2NpCuTe4
_chemical_formula_sum 'Cs4 Np2 Cu2 Te8'
_cell_length_a 9.251
_cell_length_b 9.251
_cell_length_c 7.490
_cell_angle_alpha 90.00
_cell_angle_beta 90.00
_cell_angle_gamma 90.00
_space_group_name_H-M_alt 'I -4 2 m'
_space_group_IT_number 121
_space_group_name_Hall 'I -4 2'
loop_
_atom_site_label
_atom_site_type_symbol
_atom_site_fract_x
_atom_site_fract_y
_atom_site_fract_z
Cs1 Cs 0.000 0.500 0.000
Np1 Np 0.000 0.000 0.000
Cu1 Cu 0.000 0.000 0.500
Te1 Te 0.158 0.158 0.277
# Magnetic moment (μB/atom): 0.252
# Formation energy without anion corrections (meV per atom): -497
# Crystal system: tetragonal
# ρ (g cm⁻³): 5.58
# DFT total energy (eV/f.u.): -35.29

---

Entry 4:
# KMnCr2 (PBE, relaxed)
data_KMnCr2
_chemical_formula_sum 'K3 Mn3 Cr6'
_cell_length_a 2.9849
_cell_length_b 2.9849
_cell_length_c 29.2703
_cell_angle_alpha 90.00
_cell_angle_beta 90.00
_cell_angle_gamma 120.00
_space_group_name_H-M_alt 'R -3 m'
_space_group_IT_number 166
_space_group_name_Hall '-R 3 2"'
loop_
_atom_site_label
_atom_site_type_symbol
_atom_site_fract_x
_atom_site_fract_y
_atom_site_fract_z
K1 K 0.0000 0.0000 0.0000
Mn1 Mn 0.0000 0.0000 0.5000
Cr1 Cr 0.0000 0.0000 0.2268
# Magnetic moment (μB/atom): 0.730
# Crystal system: trigonal
# Excess energy over the best structure of this formula in the dataset (meV per atom): 234
# ρ (g cm⁻³): 4.37
# DFT total energy (eV/f.u.): -25.51

---

Entry 5:
# Ca3MgI2Cl6 (PBE, relaxed)
data_Ca3MgI2Cl6
_chemical_formula_sum 'Ca6 Mg2 I4 Cl12'
_cell_length_a 13.972
_cell_length_b 8.001
_cell_length_c 6.666
_cell_angle_alpha 90.00
_cell_angle_beta 96.57
_cell_angle_gamma 90.00
_space_group_name_H-M_alt 'C 1 2/m 1'
_space_group_IT_number 12
_space_group_name_Hall '-C 2y'
loop_
_atom_site_label
_atom_site_type_symbol
_atom_site_fract_x
_atom_site_fract_y
_atom_site_fract_z
Ca1 Ca 0.000 0.000 0.000
Ca2 Ca 0.250 0.250 0.500
Mg1 Mg 0.000 0.500 0.500
I1 I 0.192 0.000 0.817
Cl1 Cl 0.067 0.256 0.281
Cl2 Cl 0.162 0.500 0.691
# Magnetic moment (μB/atom): 0.000
# Formation energy without anion corrections (meV per atom): -2002
# Crystal system: monoclinic
# ρ (g cm⁻³): 2.74
# DFT total energy (eV/f.u.): -45.80

---

Entry 6:
# Rb2SrAlI6 (PBE, relaxed)
data_Rb2SrAlI6
_chemical_formula_sum 'Rb8 Sr4 Al4 I24'
_cell_length_a 12.332
_cell_length_b 12.332
_cell_length_c 12.332
_cell_angle_alpha 90.00
_cell_angle_beta 90.00
_cell_angle_gamma 90.00
_space_group_name_H-M_alt 'F m -3 m'
_space_group_IT_number 225
_space_group_name_Hall '-F 4 2 3'
loop_
_atom_site_label
_atom_site_type_symbol
_atom_site_fract_x
_atom_site_fract_y
_atom_site_fract_z
Rb1 Rb 0.250 0.250 0.250
Sr1 Sr 0.000 0.000 0.000
Al1 Al 0.000 0.000 0.500
I1 I 0.000 0.000 0.262
# Magnetic moment (μB/atom): 0.084
# Formation energy without anion corrections (meV per atom): -1136
# Crystal system: cubic
# ρ (g cm⁻³): 3.71
# DFT total energy (eV/f.u.): -28.03

---

Entry 7:
# CaNd3Ho6 (PBE, relaxed)
data_CaNd3Ho6
_chemical_formula_sum 'Ca2 Nd6 Ho12'
_cell_length_a 11.665
_cell_length_b 6.634
_cell_length_c 9.593
_cell_angle_alpha 90.00
_cell_angle_beta 113.66
_cell_angle_gamma 90.00
_space_group_name_H-M_alt 'C 1 2/m 1'
_space_group_IT_number 12
_space_group_name_Hall '-C 2y'
loop_
_atom_site_label
_atom_site_type_symbol
_atom_site_fract_x
_atom_site_fract_y
_atom_site_fract_z
Ca1 Ca 0.000 0.000 0.000
Nd1 Nd 0.000 0.500 0.500
Nd2 Nd 0.069 0.000 0.692
Ho1 Ho 0.141 0.500 0.926
Ho2 Ho 0.188 0.253 0.310
# Magnetic moment (μB/atom): 0.000
# Crystal system: monoclinic
# ρ (g cm⁻³): 7.14
# DFT total energy (eV/f.u.): -41.27

---

Entry 8:
# BaReRh2 (PBE, relaxed)
data_BaReRh2
_chemical_formula_sum 'Ba3 Re3 Rh6'
_cell_length_a 4.4102
_cell_length_b 4.4102
_cell_length_c 17.6084
_cell_angle_alpha 90.00
_cell_angle_beta 90.00
_cell_angle_gamma 120.00
_space_group_name_H-M_alt 'R 3 m'
_space_group_IT_number 160
_space_group_name_Hall 'R 3 -2"'
loop_
_atom_site_label
_atom_site_type_symbol
_atom_site_fract_x
_atom_site_fract_y
_atom_site_fract_z
Ba1 Ba 0.0000 0.0000 0.0000
Re1 Re 0.0000 0.0000 0.1843
Rh1 Rh 0.0000 0.0000 0.5157
Rh2 Rh 0.0000 0.0000 0.8124
# Magnetic moment (μB/atom): 0.000
# Crystal system: trigonal
# Excess energy over the best structure of this formula in the dataset (meV per atom): 58
# ρ (g cm⁻³): 8.89
# DFT total energy (eV/f.u.): -28.16

---

Entry 9:
# Zr2Nb2Au (PBE, relaxed)
data_Zr2Nb2Au
_chemical_formula_sum 'Zr8 Nb8 Au4'
_cell_length_a 13.206
_cell_length_b 5.560
_cell_length_c 5.715
_cell_angle_alpha 90.00
_cell_angle_beta 104.27
_cell_angle_gamma 90.00
_space_group_name_H-M_alt 'C 1 2/c 1'
_space_group_IT_number 15
_space_group_name_Hall '-C 2yc'
loop_
_atom_site_label
_atom_site_type_symbol
_atom_site_fract_x
_atom_site_fract_y
_atom_site_fract_z
Zr1 Zr 0.117 0.117 0.496
Nb1 Nb 0.187 0.383 0.107
Au1 Au 0.000 0.411 0.750
# Magnetic moment (μB/atom): 0.000
# Crystal system: monoclinic
# Excess energy over the best structure of this formula in the dataset (meV per atom): 0
# ρ (g cm⁻³): 9.23
# DFT total energy (eV/f.u.): -40.58

---

Entry 10:
# Mo3W (PBE, relaxed)
data_Mo3W
_chemical_formula_sum 'Mo6 W2'
_cell_length_a 3.167
_cell_length_b 4.487
_cell_length_c 8.963
_cell_angle_alpha 90.00
_cell_angle_beta 90.00
_cell_angle_gamma 90.00
_space_group_name_H-M_alt 'I m m m'
_space_group_IT_number 71
_space_group_name_Hall '-I 2 2'
loop_
_atom_site_label
_atom_site_type_symbol
_atom_site_fract_x
_atom_site_fract_y
_atom_site_fract_z
Mo1 Mo 0.000 0.000 0.000
Mo2 Mo 0.000 0.500 0.250
W1 W 0.000 0.000 0.500
# Magnetic moment (μB/atom): 0.000
# Crystal system: orthorhombic
# Excess energy over the best structure of this formula in the dataset (meV per atom): 3
# ρ (g cm⁻³): 12.30
# DFT total energy (eV/f.u.): -45.51

---

Entry 11:
# Na2ScAlS4 (PBE, relaxed)
data_Na2ScAlS4
_chemical_formula_sum 'Na8 Sc4 Al4 S16'
_cell_length_a 7.428
_cell_length_b 7.668
_cell_length_c 10.735
_cell_angle_alpha 90.00
_cell_angle_beta 90.00
_cell_angle_gamma 90.00
_space_group_name_H-M_alt 'I m m a'
_space_group_IT_number 74
_space_group_name_Hall '-I 2b 2'
loop_
_atom_site_label
_atom_site_type_symbol
_atom_site_fract_x
_atom_site_fract_y
_atom_site_fract_z
Na1 Na 0.000 0.000 0.000
Na2 Na 0.250 0.250 0.250
Sc1 Sc 0.000 0.000 0.500
Al1 Al 0.250 0.250 0.750
S1 S 0.000 0.034 0.743
S2 S 0.235 0.250 0.516
# Magnetic moment (μB/atom): 0.000
# Formation energy without anion corrections (meV per atom): -1404
# Crystal system: orthorhombic
# ρ (g cm⁻³): 2.67
# DFT total energy (eV/f.u.): -40.45

---

Entry 12:
# SrCaPd (PBE, relaxed)
data_SrCaPd
_chemical_formula_sum 'Sr2 Ca2 Pd2'
_cell_length_a 3.739
_cell_length_b 7.357
_cell_length_c 7.395
_cell_angle_alpha 104.78
_cell_angle_beta 90.12
_cell_angle_gamma 104.38
_space_group_name_H-M_alt 'P -1'
_space_group_IT_number 2
_space_group_name_Hall '-P 1'
loop_
_atom_site_label
_atom_site_type_symbol
_atom_site_fract_x
_atom_site_fract_y
_atom_site_fract_z
Sr1 Sr 0.128 0.255 0.066
Ca1 Ca 0.124 0.252 0.562
Pd1 Pd 0.498 0.998 0.276
# Magnetic moment (μB/atom): 0.000
# Crystal system: triclinic
# Excess energy over the best structure of this formula in the dataset (meV per atom): 55
# ρ (g cm⁻³): 4.09
# DFT total energy (eV/f.u.): -10.20

---

Entry 13:
# YEr5Pd2 (PBE, relaxed)
data_YEr5Pd2
_chemical_formula_sum 'Y4 Er20 Pd8'
_cell_length_a 3.766
_cell_length_b 12.917
_cell_length_c 17.855
_cell_angle_alpha 90.00
_cell_angle_beta 90.00
_cell_angle_gamma 90.00
_space_group_name_H-M_alt 'C m c m'
_space_group_IT_number 63
_space_group_name_Hall '-C 2c 2'
loop_
_atom_site_label
_atom_site_type_symbol
_atom_site_fract_x
_atom_site_fract_y
_atom_site_fract_z
Y1 Y 0.000 0.162 0.250
Er1 Er 0.000 0.102 0.750
Er2 Er 0.000 0.158 0.046
Er3 Er 0.000 0.448 0.098
Pd1 Pd 0.000 0.234 0.629
# Magnetic moment (μB/atom): 0.000
# Crystal system: orthorhombic
# ρ (g cm⁻³): 8.70
# DFT total energy (eV/f.u.): -42.76

---

Entry 14:
# Tb4CdRh2 (PBE, relaxed)
data_Tb4CdRh2
_chemical_formula_sum 'Tb8 Cd2 Rh4'
_cell_length_a 7.288
_cell_length_b 7.291
_cell_length_c 7.546
_cell_angle_alpha 105.16
_cell_angle_beta 105.18
_cell_angle_gamma 95.66
_space_group_name_H-M_alt 'P 1'
_space_group_IT_number 1
_space_group_name_Hall 'P 1'
loop_
_atom_site_label
_atom_site_type_symbol
_atom_site_fract_x
_atom_site_fract_y
_atom_site_fract_z
Tb1 Tb 0.000 0.000 0.000
Tb2 Tb 0.004 0.453 0.858
Tb3 Tb 0.015 0.015 0.477
Tb4 Tb 0.031 0.445 0.350
Tb5 Tb 0.522 0.491 0.739
Tb6 Tb 0.532 0.481 0.238
Tb7 Tb 0.562 0.010 0.619
Tb8 Tb 0.570 0.984 0.127
Cd1 Cd 0.231 0.784 0.738
Cd2 Cd 0.244 0.771 0.239
Rh1 Rh 0.312 0.194 0.363
Rh2 Rh 0.731 0.266 0.987
Rh3 Rh 0.749 0.284 0.490
Rh4 Rh 0.821 0.704 0.114
# Magnetic moment (μB/atom): 0.000
# Crystal system: triclinic
# ρ (g cm⁻³): 8.62
# DFT total energy (eV/f.u.): -37.89

---

Entry 15:
# YInPb (PBE, relaxed)
data_YInPb
_chemical_formula_sum 'Y4 In4 Pb4'
_cell_length_a 7.318
_cell_length_b 7.318
_cell_length_c 7.318
_cell_angle_alpha 90.00
_cell_angle_beta 90.00
_cell_angle_gamma 90.00
_space_group_name_H-M_alt 'F -4 3 m'
_space_group_IT_number 216
_space_group_name_Hall 'F -4 2 3'
loop_
_atom_site_label
_atom_site_type_symbol
_atom_site_fract_x
_atom_site_fract_y
_atom_site_fract_z
Y1 Y 0.000 0.000 0.000
In1 In 0.250 0.250 0.250
Pb1 Pb 0.250 0.250 0.750
# Magnetic moment (μB/atom): 0.000
# Crystal system: cubic
# Excess energy over the best structure of this formula in the dataset (meV per atom): 275
# ρ (g cm⁻³): 6.97
# DFT total energy (eV/f.u.): -13.27

---

Entry 16:
# Li4Cd5Ag2 (PBE, relaxed)
data_Li4Cd5Ag2
_chemical_formula_sum 'Li8 Cd10 Ag4'
_cell_length_a 9.175
_cell_length_b 4.256
_cell_length_c 11.060
_cell_angle_alpha 90.00
_cell_angle_beta 106.87
_cell_angle_gamma 90.00
_space_group_name_H-M_alt 'C 1 2/m 1'
_space_group_IT_number 12
_space_group_name_Hall '-C 2y'
loop_
_atom_site_label
_atom_site_type_symbol
_atom_site_fract_x
_atom_site_fract_y
_atom_site_fract_z
Li1 Li 0.049 0.000 0.317
Li2 Li 0.181 0.500 0.777
Cd1 Cd 0.000 0.500 0.500
Cd2 Cd 0.131 0.000 0.947
Cd3 Cd 0.230 0.000 0.602
Ag1 Ag 0.096 0.500 0.140
# Magnetic moment (μB/atom): 0.000
# Crystal system: monoclinic
# Excess energy over the best structure of this formula in the dataset (meV per atom): 0
# ρ (g cm⁻³): 6.47
# DFT total energy (eV/f.u.): -20.18

---

Entry 17:
# Ru5W3 (PBE, relaxed)
data_Ru5W3
_chemical_formula_sum 'Ru10 W6'
_cell_length_a 7.5454
_cell_length_b 7.5454
_cell_length_c 5.1285
_cell_angle_alpha 90.00
_cell_angle_beta 90.00
_cell_angle_gamma 120.00
_space_group_name_H-M_alt 'P 63/m c m'
_space_group_IT_number 193
_space_group_name_Hall '-P 6c 2'
loop_
_atom_site_label
_atom_site_type_symbol
_atom_site_fract_x
_atom_site_fract_y
_atom_site_fract_z
Ru1 Ru 0.0000 0.2606 0.2500
Ru2 Ru 0.3333 0.6667 0.0000
W1 W 0.0000 0.3925 0.7500
# Magnetic moment (μB/atom): 0.000
# Crystal system: hexagonal
# Excess energy over the best structure of this formula in the dataset (meV per atom): 370
# ρ (g cm⁻³): 13.88
# DFT total energy (eV/f.u.): -82.07

---

Entry 18:
# Ho3Er2Th (PBE, relaxed)
data_Ho3Er2Th
_chemical_formula_sum 'Ho12 Er8 Th4'
_cell_length_a 9.362
_cell_length_b 13.049
_cell_length_c 6.351
_cell_angle_alpha 90.00
_cell_angle_beta 90.00
_cell_angle_gamma 90.00
_space_group_name_H-M_alt 'C m c 21'
_space_group_IT_number 36
_space_group_name_Hall 'C 2c -2'
loop_
_atom_site_label
_atom_site_type_symbol
_atom_site_fract_x
_atom_site_fract_y
_atom_site_fract_z
Ho1 Ho 0.000 0.087 0.000
Ho2 Ho 0.183 0.431 0.264
Er1 Er 0.181 0.312 0.787
Th1 Th 0.000 0.171 0.480
# Magnetic moment (μB/atom): 0.000
# Crystal system: orthorhombic
# Excess energy over the best structure of this formula in the dataset (meV per atom): 146
# ρ (g cm⁻³): 9.09
# DFT total energy (eV/f.u.): -28.76

---

Entry 19:
# TaNb6Os (PBE, relaxed)
data_TaNb6Os
_chemical_formula_sum 'Ta2 Nb12 Os2'
_cell_length_a 4.621
_cell_length_b 4.621
_cell_length_c 13.166
_cell_angle_alpha 90.00
_cell_angle_beta 90.00
_cell_angle_gamma 90.00
_space_group_name_H-M_alt 'I 4/m m m'
_space_group_IT_number 139
_space_group_name_Hall '-I 4 2'
loop_
_atom_site_label
_atom_site_type_symbol
_atom_site_fract_x
_atom_site_fract_y
_atom_site_fract_z
Ta1 Ta 0.000 0.000 0.000
Nb1 Nb 0.000 0.000 0.247
Nb2 Nb 0.000 0.500 0.123
Os1 Os 0.000 0.000 0.500
# Magnetic moment (μB/atom): 0.000
# Crystal system: tetragonal
# Excess energy over the best structure of this formula in the dataset (meV per atom): 0
# ρ (g cm⁻³): 10.97
# DFT total energy (eV/f.u.): -84.67

---

Entry 20:
# SrHS2 (PBE, relaxed)
data_SrHS2
_chemical_formula_sum 'Sr3 H3 S6'
_cell_length_a 4.4471
_cell_length_b 4.4471
_cell_length_c 13.8793
_cell_angle_alpha 90.00
_cell_angle_beta 90.00
_cell_angle_gamma 120.00
_space_group_name_H-M_alt 'R -3 m'
_space_group_IT_number 166
_space_group_name_Hall '-R 3 2"'
loop_
_atom_site_label
_atom_site_type_symbol
_atom_site_fract_x
_atom_site_fract_y
_atom_site_fract_z
Sr1 Sr 0.0000 0.0000 0.0000
H1 H 0.0000 0.0000 0.5000
S1 S 0.0000 0.0000 0.2110
# Magnetic moment (μB/atom): 0.230
# Crystal system: trigonal
# Excess energy over the best structure of this formula in the dataset (meV per atom): 928
# ρ (g cm⁻³): 3.20
# DFT total energy (eV/f.u.): -13.68